No. 1
Rb2NdGaO4 after structural relaxation. Source: the Alexandria database, functional GGA-PBE.

Properties
VASP energy: -5.50 eV/atom
spin magnetization: 0.00 μB per formula unit
formation energy without anion corrections: -1809 meV/atom
volume: 27.40 A^3/atom

Structure (CIF):
```
data_Rb2NdGaO4
_symmetry_space_group_name_H-M 'F d d d'
_symmetry_Int_Tables_number 70
_cell_length_a 5.750
_cell_length_b 12.819
_cell_length_c 23.796
_cell_angle_alpha 90.00
_cell_angle_beta 90.00
_cell_angle_gamma 90.00
loop_
_symmetry_equiv_pos_as_xyz
'x,y,z'
'-x,-y,-z'
'-x+1/4,-y+1/4,z'
'x+1/4,y+1/4,-z'
'x,-y+1/4,-z+1/4'
'-x,y+1/4,z+1/4'
'-x+1/4,y,-z+1/4'
'x+1/4,-y,z+1/4'
'x,y+1/2,z+1/2'
'-x,-y+1/2,-z+1/2'
'-x+1/4,-y+3/4,z+1/2'
'x+1/4,y+3/4,-z+1/2'
'x,-y+3/4,-z+3/4'
'-x,y+3/4,z+3/4'
'-x+1/4,y+1/2,-z+3/4'
'x+1/4,-y+1/2,z+3/4'
'x+1/2,y,z+1/2'
'-x+1/2,-y,-z+1/2'
'-x+3/4,-y+1/4,z+1/2'
'x+3/4,y+1/4,-z+1/2'
'x+1/2,-y+1/4,-z+3/4'
'-x+1/2,y+1/4,z+3/4'
'-x+3/4,y,-z+3/4'
'x+3/4,-y,z+3/4'
'x+1/2,y+1/2,z'
'-x+1/2,-y+1/2,-z'
'-x+3/4,-y+3/4,z'
'x+3/4,y+3/4,-z'
'x+1/2,-y+3/4,-z+1/4'
'-x+1/2,y+3/4,z+1/4'
'-x+3/4,y+1/2,-z+1/4'
'x+3/4,-y+1/2,z+1/4'
loop_
_atom_site_label
_atom_site_type_symbol
_atom_site_fract_x
_atom_site_fract_y
_atom_site_fract_z
Rb1 Rb 0.125 0.125 0.317
Nd1 Nd 0.125 0.125 0.125
Ga1 Ga 0.125 0.125 0.625
O1 O 0.084 0.283 0.837
```


No. 2
Rb3NdGa2O6 after structural relaxation. Source: the Alexandria database, functional GGA-PBE.

Properties
VASP energy: -5.57 eV/atom
spin magnetization: 0.00 μB per formula unit
formation energy without anion corrections: -1950 meV/atom
volume: 21.51 A^3/atom

Structure (CIF):
```
data_Rb3NdGa2O6
_symmetry_space_group_name_H-M 'P -3 m 1'
_symmetry_Int_Tables_number 164
_symmetry_space_group_name_Hall '-P 3 2"'
_cell_length_a 6.2976
_cell_length_b 6.2976
_cell_length_c 7.5147
_cell_angle_alpha 90.00
_cell_angle_beta 90.00
_cell_angle_gamma 120.00
loop_
_atom_site_label
_atom_site_type_symbol
_atom_site_fract_x
_atom_site_fract_y
_atom_site_fract_z
Rb1 Rb 0.0000 0.0000 0.0000
Rb2 Rb 0.3333 0.6667 0.7478
Nd1 Nd 0.0000 0.0000 0.5000
Ga1 Ga 0.3333 0.6667 0.2975
O1 O 0.1694 0.3388 0.2984
```